1.
Computed, not measured: a relaxed Y2NiHgB crystal at the PBE level of DFT.

Results
Electronic total energy   -27.51 eV per cell
ρ   7337 kg/m3
Total magnetization   0.00 μB/f.u.
SG   No. 123
Calculated formation energy   -365 meV per atom

a = 5.147 Å, b = 5.147 Å, c = 3.826 Å
α = 90.00°, β = 90.00°, γ = 90.00°
Positions (direct):
Y1 0.000 0.500 0.000
Y2 0.500 0.000 0.000
Ni1 0.000 0.000 0.500
Hg1 0.500 0.500 0.500
B1 0.000 0.000 0.000

2.
Computed, not measured: a relaxed NpHgB2O6 crystal at the PBE level of DFT.

Results
Raw formation energy   -2184 meV per atom
Electronic total energy   -156.38 eV per cell
ρ   5358 kg/m3
Total magnetization   1.00 μB/f.u.
SG   No. 15

a = 6.571 Å, b = 6.571 Å, c = 8.731 Å
α = 106.51°, β = 106.51°, γ = 91.53°
Positions (direct):
Np1 0.148 0.852 0.750
Np2 0.852 0.148 0.250
Hg1 0.370 0.630 0.250
Hg2 0.630 0.370 0.750
B1 0.084 0.321 0.673
B2 0.321 0.084 0.173
B3 0.679 0.916 0.827
B4 0.916 0.679 0.327
O1 0.047 0.745 0.492
O2 0.149 0.535 0.757
O3 0.154 0.170 0.753
O4 0.170 0.154 0.253
O5 0.255 0.953 0.008
O6 0.465 0.851 0.743
O7 0.535 0.149 0.257
O8 0.745 0.047 0.992
O9 0.830 0.846 0.747
O10 0.846 0.830 0.247
O11 0.851 0.465 0.243
O12 0.953 0.255 0.508